No. 1
Compound: Th2BeN3
Source: Alexandria via LeMat-Bulk
Functional: PBE
Structure: relaxed

Values from the calculation:
symmetry = Immm, No. 71
DOS at the Fermi energy = 0.14 states/eV per atom
ΔE_f (raw) = -8.139 eV per formula unit

POSCAR file:
```
Th2BeN3
1.0
3.430 0.000 -0.889
-0.254 3.429 -0.980
0.007 0.161 7.084
N Be Th
3 1 2
Direct
0.829 0.829 0.657 N
0.171 0.171 0.343 N
0.000 0.500 0.000 N
0.000 0.000 0.000 Be
0.642 0.642 0.284 Th
0.358 0.358 0.716 Th
```


No. 2
Compound: Y2WAu
Source: Alexandria via LeMat-Bulk
Functional: PBE
Structure: relaxed

Values from the calculation:
symmetry = Imm2, No. 44
E above lowest polymorph = 2.97 kcal/mol of atoms
DOS at the Fermi energy = 0.89 states/eV per atom
formation enthalpy at 0 K = 9 kJ per mole of atoms

POSCAR file:
```
Y2WAu
1.0
6.358 -0.011 0.003
3.468 5.329 -0.003
-4.279 -3.830 2.728
Y Au W
2 1 1
Direct
0.728 0.228 0.500 Y
0.030 0.030 0.000 Y
0.471 0.471 0.000 Au
0.271 0.771 0.500 W
```


No. 3
Compound: BiB2C
Source: Alexandria via LeMat-Bulk
Functional: PBE
Structure: relaxed

Values from the calculation:
symmetry = I-42d, No. 122
E above lowest polymorph = 0.00 kcal/mol of atoms
DOS at the Fermi energy = 0.52 states/eV per atom
formation enthalpy at 0 K = 83 kJ per mole of atoms

POSCAR file:
```
BiB2C
1.0
4.704 0.000 0.000
0.000 4.704 0.000
2.352 2.352 4.448
Bi C B
2 2 4
Direct
0.000 0.000 0.000 Bi
0.750 0.250 0.500 Bi
0.500 0.500 0.000 C
0.250 0.750 0.500 C
0.375 0.517 0.750 B
0.483 0.125 0.250 B
0.267 0.625 0.250 B
0.875 0.733 0.750 B
```


No. 4
Compound: LiCuNi2
Source: Alexandria via LeMat-Bulk
Functional: PBE
Structure: relaxed

Values from the calculation:
symmetry = Cmm2, No. 35
DOS at the Fermi energy = 1.14 states/eV per atom
formation enthalpy at 0 K = 4 kJ per mole of atoms

POSCAR file:
```
LiCuNi2
1.0
-0.813 0.713 2.208
1.147 -2.175 -0.041
7.351 3.848 1.465
Li Ni Cu
1 2 1
Direct
0.500 0.500 0.756 Li
0.000 0.000 0.003 Ni
0.500 0.500 0.246 Ni
0.000 0.000 0.495 Cu
```


For each record above, in turn, the calculated total DFT energy (no corrections) values are -8.6135; -7.1978; -5.7569; -4.3475 eV/atom.